(1)
A plane-wave DFT calculation with PBE was carried out for a relaxed Ca2HoPt9 crystal.

```
Ca2HoPt9
1.0
2.696 1.557 8.903
-2.696 1.557 8.903
0.000 -3.114 8.903
Ca Ho Pt
2 1 9
direct
0.142 0.142 0.142
0.858 0.858 0.858
0.000 0.000 0.000
0.081 0.585 0.585
0.333 0.333 0.333
0.415 0.415 0.919
0.415 0.919 0.415
0.500 0.500 0.500
0.585 0.081 0.585
0.585 0.585 0.081
0.667 0.667 0.667
0.919 0.415 0.415
```

Output
DOS(E_F), states/eV per cell: 9.665
Total DFT energy (no corrections), eV per atom: -6.0558

***

(2)
A plane-wave DFT calculation with PBE was carried out for a relaxed CaHo2Pt3 crystal.

```
CaHo2Pt3
1.0
3.453 0.000 0.000
0.000 3.453 0.000
0.000 0.000 10.667
Ca Ho Pt
1 2 3
direct
0.000 0.000 0.000
0.000 0.000 0.332
0.000 0.000 0.668
0.500 0.500 0.183
0.500 0.500 0.500
0.500 0.500 0.817
```

Output
DOS(E_F), states/eV per cell: 2.235
Total DFT energy (no corrections), eV per atom: -6.0434

***

(3)
A plane-wave DFT calculation with PBE was carried out for a relaxed CaHo4Pt4 crystal.

```
CaHo4Pt4
1.0
9.141 0.000 0.000
0.000 9.141 0.000
0.000 0.000 5.652
Ca Ho Pt
2 8 8
direct
0.250 0.250 0.250
0.750 0.750 0.750
0.085 0.649 0.166
0.149 0.915 0.666
0.351 0.585 0.666
0.415 0.851 0.166
0.585 0.149 0.834
0.649 0.415 0.334
0.851 0.085 0.334
0.915 0.351 0.834
0.045 0.619 0.668
0.119 0.955 0.168
0.381 0.545 0.168
0.455 0.881 0.668
0.545 0.119 0.332
0.619 0.455 0.832
0.881 0.045 0.832
0.955 0.381 0.332
```

Output
DOS(E_F), states/eV per cell: 11.671
Total DFT energy (no corrections), eV per atom: -5.9871

***

Which of these has the lowest total DFT energy (no corrections)? Ca2HoPt9

***

Among the records above, which one has the lowest DOS(E_F)? CaHo2Pt3

***

Among the records above, which one has the highest total DFT energy (no corrections)? CaHo4Pt4